Crystalline Ce4Te3F4 at its relaxed geometry. Source: Alexandria via LeMat-Bulk, functional PBE.

Values from the calculation:
* ΔE_f (raw): -27.47 eV/f.u.
* calculated density: 6.60 Mg/m³
* V: 256.6 Å³ per cell
* calculated total energy: -6.19 eV per atom
* density of states at the Fermi level: 26.37 states/eV per cell
* SG: Immm, No. 71

Cell lengths 8.910, 8.910, 8.910 Å; angles 154.12, 123.10, 63.52 degrees
Positions (direct):
Ce1 0.210 0.210 0.000
Ce2 0.283 0.500 0.783
Ce3 0.717 0.500 0.217
Ce4 0.790 0.790 0.000
Te1 0.000 0.000 0.000
Te2 0.382 0.882 0.500
Te3 0.618 0.118 0.500
F1 0.007 0.672 0.335
F2 0.337 0.672 0.665
F3 0.663 0.328 0.335
F4 0.993 0.328 0.665